# InAgSe2 | Alexandria via LeMat-Bulk | PBEsol | optimized geometry
data_InAgSe2
_cell_length_a 5.552
_cell_length_b 5.552
_cell_length_c 11.246
_cell_angle_alpha 90.00
_cell_angle_beta 90.00
_cell_angle_gamma 90.00
_symmetry_space_group_name_H-M 'I 41/a m d'
_symmetry_Int_Tables_number 141
loop_
_symmetry_equiv_pos_as_xyz
'x,y,z'
'-x,-y,-z'
'-y+1/4,x+3/4,z+1/4'
'y+1/4,-x+3/4,-z+1/4'
'-x+1/2,-y,z+1/2'
'x+1/2,y,-z+1/2'
'y+1/4,-x+1/4,z+3/4'
'-y+1/4,x+1/4,-z+3/4'
'x,-y,-z'
'-x,y,z'
'-y+1/4,-x+1/4,-z+3/4'
'y+1/4,x+1/4,z+3/4'
'-x+1/2,y,-z+1/2'
'x+1/2,-y,z+1/2'
'y+1/4,x+3/4,-z+1/4'
'-y+1/4,-x+3/4,z+1/4'
'x+1/2,y+1/2,z+1/2'
'-x+1/2,-y+1/2,-z+1/2'
'-y+3/4,x+1/4,z+3/4'
'y+3/4,-x+1/4,-z+3/4'
'-x,-y+1/2,z'
'x,y+1/2,-z'
'y+3/4,-x+3/4,z+1/4'
'-y+3/4,x+3/4,-z+1/4'
'x+1/2,-y+1/2,-z+1/2'
'-x+1/2,y+1/2,z+1/2'
'-y+3/4,-x+3/4,-z+1/4'
'y+3/4,x+3/4,z+1/4'
'-x,y+1/2,-z'
'x,-y+1/2,z'
'y+3/4,x+1/4,-z+3/4'
'-y+3/4,-x+1/4,z+3/4'
loop_
_atom_site_label
_atom_site_fract_x
_atom_site_fract_y
_atom_site_fract_z
In1 0.000 0.250 0.375
Ag1 0.000 0.250 0.875
Se1 0.000 0.250 0.129
# ΔE_f (raw) = -0.319 eV/atom

---

# InAgSnSe4 | Alexandria via LeMat-Bulk | PBEsol | optimized geometry
data_InAgSnSe4
_cell_length_a 5.780
_cell_length_b 5.780
_cell_length_c 11.314
_cell_angle_alpha 90.00
_cell_angle_beta 90.00
_cell_angle_gamma 90.00
_symmetry_space_group_name_H-M 'I -4'
_symmetry_Int_Tables_number 82
_symmetry_space_group_name_Hall 'I -4'
loop_
_atom_site_label
_atom_site_fract_x
_atom_site_fract_y
_atom_site_fract_z
In1 0.000 0.000 0.000
Ag1 0.000 0.500 0.750
Sn1 0.000 0.500 0.250
Se1 0.215 0.223 0.389
# ΔE_f (raw) = -0.348 eV/atom

---

# InSi2Ag | Alexandria via LeMat-Bulk | PBEsol | optimized geometry
data_InSi2Ag
_cell_length_a 2.890
_cell_length_b 3.935
_cell_length_c 6.515
_cell_angle_alpha 90.00
_cell_angle_beta 90.00
_cell_angle_gamma 90.00
_symmetry_space_group_name_H-M 'P m m m'
_symmetry_Int_Tables_number 47
_symmetry_space_group_name_Hall '-P 2 2'
loop_
_atom_site_label
_atom_site_fract_x
_atom_site_fract_y
_atom_site_fract_z
In1 0.000 0.000 0.000
Si1 0.500 0.500 0.302
Ag1 0.000 0.000 0.500
# ΔE_f (raw) = 0.348 eV/atom

---

# In2SiAg | Alexandria via LeMat-Bulk | PBEsol | optimized geometry
data_In2SiAg
_cell_length_a 4.026
_cell_length_b 4.115
_cell_length_c 5.387
_cell_angle_alpha 90.00
_cell_angle_beta 111.02
_cell_angle_gamma 90.00
_symmetry_space_group_name_H-M 'P 1 m 1'
_symmetry_Int_Tables_number 6
_symmetry_space_group_name_Hall 'P -2y'
loop_
_atom_site_label
_atom_site_fract_x
_atom_site_fract_y
_atom_site_fract_z
In1 0.000 0.000 0.000
In2 0.278 0.500 0.582
Si1 0.571 0.500 0.131
Ag1 0.708 0.000 0.444
# ΔE_f (raw) = 0.143 eV/atom

---

# In2SiAg | Alexandria via LeMat-Bulk | PBEsol | optimized geometry
data_In2SiAg
_cell_length_a 3.3698
_cell_length_b 3.3698
_cell_length_c 24.9733
_cell_angle_alpha 90.00
_cell_angle_beta 90.00
_cell_angle_gamma 120.00
_symmetry_space_group_name_H-M 'R -3 m'
_symmetry_Int_Tables_number 166
_symmetry_space_group_name_Hall '-R 3 2"'
loop_
_atom_site_label
_atom_site_fract_x
_atom_site_fract_y
_atom_site_fract_z
In1 0.0000 0.0000 0.2488
Si1 0.0000 0.0000 0.5000
Ag1 0.0000 0.0000 0.0000
# ΔE_f (raw) = 0.204 eV/atom

---

# SmInAg2 | Alexandria via LeMat-Bulk | PBEsol | optimized geometry
data_SmInAg2
_cell_length_a 6.939
_cell_length_b 6.939
_cell_length_c 6.939
_cell_angle_alpha 90.00
_cell_angle_beta 90.00
_cell_angle_gamma 90.00
_symmetry_space_group_name_H-M 'F m -3 m'
_symmetry_Int_Tables_number 225
_symmetry_space_group_name_Hall '-F 4 2 3'
loop_
_atom_site_label
_atom_site_fract_x
_atom_site_fract_y
_atom_site_fract_z
Sm1 0.000 0.000 0.000
In1 0.000 0.000 0.500
Ag1 0.250 0.250 0.250
# ΔH_f (0 K) = -0.402 eV/atom

---

# InAgSn2 | Alexandria via LeMat-Bulk | PBEsol | optimized geometry
data_InAgSn2
_cell_length_a 7.213
_cell_length_b 7.213
_cell_length_c 7.213
_cell_angle_alpha 90.00
_cell_angle_beta 90.00
_cell_angle_gamma 90.00
_symmetry_space_group_name_H-M 'F m -3 m'
_symmetry_Int_Tables_number 225
_symmetry_space_group_name_Hall '-F 4 2 3'
loop_
_atom_site_label
_atom_site_fract_x
_atom_site_fract_y
_atom_site_fract_z
In1 0.000 0.000 0.000
Ag1 0.000 0.000 0.500
Sn1 0.250 0.250 0.250
# ΔH_f (0 K) = 0.104 eV/atom

---

# SrIn2Ag | Alexandria via LeMat-Bulk | PBEsol | optimized geometry
data_SrIn2Ag
_cell_length_a 4.6597
_cell_length_b 4.6597
_cell_length_c 17.4282
_cell_angle_alpha 90.00
_cell_angle_beta 90.00
_cell_angle_gamma 120.00
_symmetry_space_group_name_H-M 'R -3 m'
_symmetry_Int_Tables_number 166
_symmetry_space_group_name_Hall '-R 3 2"'
loop_
_atom_site_label
_atom_site_fract_x
_atom_site_fract_y
_atom_site_fract_z
Sr1 0.0000 0.0000 0.0000
In1 0.0000 0.0000 0.2144
Ag1 0.0000 0.0000 0.5000
# ΔH_f (0 K) = -0.307 eV/atom

---

# SrIn2Ag | Alexandria via LeMat-Bulk | PBEsol | optimized geometry
data_SrIn2Ag
_cell_length_a 4.7202
_cell_length_b 4.7202
_cell_length_c 17.0844
_cell_angle_alpha 90.00
_cell_angle_beta 90.00
_cell_angle_gamma 120.00
_symmetry_space_group_name_H-M 'R 3 m'
_symmetry_Int_Tables_number 160
_symmetry_space_group_name_Hall 'R 3 -2"'
loop_
_atom_site_label
_atom_site_fract_x
_atom_site_fract_y
_atom_site_fract_z
Sr1 0.0000 0.0000 0.0000
In1 0.0000 0.0000 0.5436
In2 0.0000 0.0000 0.7878
Ag1 0.0000 0.0000 0.1924
# ΔH_f (0 K) = -0.310 eV/atom

---

# SrInAg2 | Alexandria via LeMat-Bulk | PBEsol | optimized geometry
data_SrInAg2
_cell_length_a 4.7577
_cell_length_b 4.7577
_cell_length_c 15.3317
_cell_angle_alpha 90.00
_cell_angle_beta 90.00
_cell_angle_gamma 120.00
_symmetry_space_group_name_H-M 'R -3 m'
_symmetry_Int_Tables_number 166
_symmetry_space_group_name_Hall '-R 3 2"'
loop_
_atom_site_label
_atom_site_fract_x
_atom_site_fract_y
_atom_site_fract_z
Sr1 0.0000 0.0000 0.0000
In1 0.0000 0.0000 0.5000
Ag1 0.0000 0.0000 0.2046
# ΔH_f (0 K) = -0.270 eV/atom

---

# SrInAg4 | Alexandria via LeMat-Bulk | PBEsol | optimized geometry
data_SrInAg4
_cell_length_a 7.901
_cell_length_b 7.901
_cell_length_c 7.901
_cell_angle_alpha 90.00
_cell_angle_beta 90.00
_cell_angle_gamma 90.00
_symmetry_space_group_name_H-M 'F -4 3 m'
_symmetry_Int_Tables_number 216
_symmetry_space_group_name_Hall 'F -4 2 3'
loop_
_atom_site_label
_atom_site_fract_x
_atom_site_fract_y
_atom_site_fract_z
Sr1 0.000 0.000 0.000
In1 0.250 0.250 0.750
Ag1 0.124 0.124 0.376
# ΔH_f (0 K) = -0.218 eV/atom

---

# SrInAg2 | Alexandria via LeMat-Bulk | PBEsol | optimized geometry
data_SrInAg2
_cell_length_a 4.7079
_cell_length_b 4.7079
_cell_length_c 16.1222
_cell_angle_alpha 90.00
_cell_angle_beta 90.00
_cell_angle_gamma 120.00
_symmetry_space_group_name_H-M 'R 3 m'
_symmetry_Int_Tables_number 160
_symmetry_space_group_name_Hall 'R 3 -2"'
loop_
_atom_site_label
_atom_site_fract_x
_atom_site_fract_y
_atom_site_fract_z
Sr1 0.0000 0.0000 0.0000
In1 0.0000 0.0000 0.7966
Ag1 0.0000 0.0000 0.2010
Ag2 0.0000 0.0000 0.5219
# ΔH_f (0 K) = -0.226 eV/atom

---

# TaInAg2 | Alexandria via LeMat-Bulk | PBEsol | optimized geometry
data_TaInAg2
_cell_length_a 2.842
_cell_length_b 4.675
_cell_length_c 5.434
_cell_angle_alpha 90.00
_cell_angle_beta 95.66
_cell_angle_gamma 90.00
_symmetry_space_group_name_H-M 'P 1 2/m 1'
_symmetry_Int_Tables_number 10
_symmetry_space_group_name_Hall '-P 2y'
loop_
_atom_site_label
_atom_site_fract_x
_atom_site_fract_y
_atom_site_fract_z
Ta1 0.000 0.000 0.000
In1 0.500 0.000 0.500
Ag1 0.340 0.500 0.759
# ΔH_f (0 K) = 0.232 eV/atom

---

# TaIn3Ag | Alexandria via LeMat-Bulk | PBEsol | optimized geometry
data_TaIn3Ag
_cell_length_a 5.036
_cell_length_b 5.036
_cell_length_c 5.036
_cell_angle_alpha 90.00
_cell_angle_beta 90.00
_cell_angle_gamma 90.00
_symmetry_space_group_name_H-M 'P m -3 m'
_symmetry_Int_Tables_number 221
_symmetry_space_group_name_Hall '-P 4 2 3'
loop_
_atom_site_label
_atom_site_fract_x
_atom_site_fract_y
_atom_site_fract_z
Ta1 0.000 0.000 0.000
In1 0.000 0.500 0.500
Ag1 0.500 0.500 0.500
# ΔH_f (0 K) = 1.170 eV/atom

---

# Ta2TlInAg | Alexandria via LeMat-Bulk | PBEsol | optimized geometry
data_Ta2TlInAg
_cell_length_a 5.112
_cell_length_b 5.112
_cell_length_c 4.926
_cell_angle_alpha 90.00
_cell_angle_beta 90.00
_cell_angle_gamma 90.00
_symmetry_space_group_name_H-M 'P 4/m m m'
_symmetry_Int_Tables_number 123
_symmetry_space_group_name_Hall '-P 4 2'
loop_
_atom_site_label
_atom_site_fract_x
_atom_site_fract_y
_atom_site_fract_z
Ta1 0.000 0.500 0.000
Tl1 0.000 0.000 0.000
In1 0.500 0.500 0.500
Ag1 0.000 0.000 0.500
# ΔH_f (0 K) = 1.876 eV/atom

---

# InTcAg2 | Alexandria via LeMat-Bulk | PBEsol | optimized geometry
data_InTcAg2
_cell_length_a 2.749
_cell_length_b 4.312
_cell_length_c 5.661
_cell_angle_alpha 90.00
_cell_angle_beta 90.00
_cell_angle_gamma 90.00
_symmetry_space_group_name_H-M 'P m m m'
_symmetry_Int_Tables_number 47
_symmetry_space_group_name_Hall '-P 2 2'
loop_
_atom_site_label
_atom_site_fract_x
_atom_site_fract_y
_atom_site_fract_z
In1 0.000 0.000 0.000
Tc1 0.000 0.000 0.500
Ag1 0.500 0.500 0.262
# ΔH_f (0 K) = 0.398 eV/atom

---

# In2TcAg | Alexandria via LeMat-Bulk | PBEsol | optimized geometry
data_In2TcAg
_cell_length_a 3.189
_cell_length_b 5.047
_cell_length_c 9.093
_cell_angle_alpha 90.00
_cell_angle_beta 90.00
_cell_angle_gamma 90.00
_symmetry_space_group_name_H-M 'C m m m'
_symmetry_Int_Tables_number 65
_symmetry_space_group_name_Hall '-C 2 2'
loop_
_atom_site_label
_atom_site_fract_x
_atom_site_fract_y
_atom_site_fract_z
In1 0.000 0.000 0.241
Tc1 0.000 0.500 0.000
Ag1 0.000 0.500 0.500
# ΔH_f (0 K) = 0.303 eV/atom

---

# InTc2Ag | Alexandria via LeMat-Bulk | PBEsol | optimized geometry
data_InTc2Ag
_cell_length_a 4.111
_cell_length_b 4.111
_cell_length_c 7.466
_cell_angle_alpha 90.00
_cell_angle_beta 90.00
_cell_angle_gamma 90.00
_symmetry_space_group_name_H-M 'I -4 m 2'
_symmetry_Int_Tables_number 119
_symmetry_space_group_name_Hall 'I -4 -2'
loop_
_atom_site_label
_atom_site_fract_x
_atom_site_fract_y
_atom_site_fract_z
In1 0.000 0.000 0.000
Tc1 0.000 0.000 0.500
Tc2 0.000 0.500 0.250
Ag1 0.000 0.500 0.750
# ΔH_f (0 K) = 0.392 eV/atom

---

# In2TcAg | Alexandria via LeMat-Bulk | PBEsol | optimized geometry
data_In2TcAg
_cell_length_a 10.337
_cell_length_b 3.123
_cell_length_c 4.721
_cell_angle_alpha 90.00
_cell_angle_beta 109.11
_cell_angle_gamma 90.00
_symmetry_space_group_name_H-M 'C 1 m 1'
_symmetry_Int_Tables_number 8
_symmetry_space_group_name_Hall 'C -2y'
loop_
_atom_site_label
_atom_site_fract_x
_atom_site_fract_y
_atom_site_fract_z
In1 0.000 0.000 0.000
In2 0.232 0.000 0.613
Tc1 0.238 0.500 0.107
Ag1 0.476 0.000 0.479
# ΔH_f (0 K) = 0.212 eV/atom

---

# InTcAg2 | Alexandria via LeMat-Bulk | PBEsol | optimized geometry
data_InTcAg2
_cell_length_a 3.756
_cell_length_b 4.091
_cell_length_c 4.337
_cell_angle_alpha 90.00
_cell_angle_beta 90.00
_cell_angle_gamma 90.00
_symmetry_space_group_name_H-M 'P m m m'
_symmetry_Int_Tables_number 47
_symmetry_space_group_name_Hall '-P 2 2'
loop_
_atom_site_label
_atom_site_fract_x
_atom_site_fract_y
_atom_site_fract_z
In1 0.000 0.000 0.000
Tc1 0.500 0.500 0.000
Ag1 0.000 0.500 0.500
Ag2 0.500 0.000 0.500
# ΔH_f (0 K) = 0.311 eV/atom